# La3CeGa8 | Alexandria via LeMat-Bulk | PBE-GGA | optimized geometry
# Magnetization (μB per formula unit): 1.00
# Energy of formation (eV per atom): -0.570
# Symmetry: R3m
# Energy (eV/atom): -4.314
# ρ (g/cm³): 7.1
data_La3CeGa8
_chemical_formula_sum 'La3 Ce1 Ga8'
_symmetry_space_group_name_H-M 'P 1'
_symmetry_Int_Tables_number 1
_symmetry_space_group_name_Hall 'P 1'
_cell_length_a 5.677
_cell_length_b 5.677
_cell_length_c 9.848
_cell_angle_alpha 73.25
_cell_angle_beta 73.25
_cell_angle_gamma 60.00
loop_
_atom_site_label
_atom_site_type_symbol
_atom_site_fract_x
_atom_site_fract_y
_atom_site_fract_z
La1 La 0.375 0.375 0.876
La2 La 0.000 0.000 0.001
La3 La 0.501 0.501 0.498
Ce1 Ce 0.875 0.875 0.375
Ga1 Ga 0.937 0.437 0.190
Ga2 Ga 0.439 0.938 0.685
Ga3 Ga 0.437 0.437 0.190
Ga4 Ga 0.938 0.938 0.685
Ga5 Ga 0.188 0.188 0.437
Ga6 Ga 0.687 0.687 0.938
Ga7 Ga 0.437 0.937 0.190
Ga8 Ga 0.938 0.439 0.685